Below is a geometry-optimized ZrCd2In structure, with properties calculated at the PBE level.

Lattice parameters (Å, degrees): 4.9397 3.1205 5.8823 90.01 90.00 90.00
Atoms (fractional coordinates):
Cd 0.0000 0.2475 0.9866
Cd 0.0000 0.2525 0.5134
In 0.5000 0.2500 0.2500
Zr 0.5000 0.7500 0.7500

Results
ΔH_f (0 K) ... -53.7 meV/atom
SG ... No. 10
VASP energy ... -13.331 eV per cell

***

Below is a geometry-optimized Zr2CdIn structure, with properties calculated at the PBE level.

Lattice parameters (Å, degrees): 7.0627 5.4336 3.1380 90.04 63.54 121.42
Atoms (fractional coordinates):
Cd 0.0000 0.5000 0.5000
Zr 0.0000 0.0000 0.0000
Zr 0.5000 0.0000 0.5000
In 0.5000 0.5000 0.0000

Results
ΔH_f (0 K) ... -232.8 meV/atom
SG ... No. 65
VASP energy ... -21.681 eV per cell

***

Below is a geometry-optimized Zr2CdIn structure, with properties calculated at the PBE level.

Lattice parameters (Å, degrees): 4.3990 4.3990 6.6867 70.80 70.80 60.00
Each line ends with the local moment (μB).
Atoms (fractional coordinates):
Zr 0.0769 0.0769 0.7693  0.23
Zr 0.2580 0.2580 0.2260  0.27
Cd 0.4980 0.4980 0.5060  0.04
In 0.6671 0.6671 0.9988  0.01

Results
ΔH_f (0 K) ... 317.0 meV/atom
SG ... No. 160
VASP energy ... -19.482 eV per cell

***

Below is a geometry-optimized ZrCdIn4 structure, with properties calculated at the PBE level.

Lattice parameters (Å, degrees): 5.9470 5.9470 5.9470 60.00 60.00 60.00
Each line ends with the local moment (μB).
Atoms (fractional coordinates):
Zr 0.7500 0.7500 0.7500  0.64
Cd 0.0000 0.0000 0.0000  0.03
In 0.8751 0.3750 0.3750  0.03
In 0.3750 0.3750 0.8751  0.03
In 0.3750 0.8751 0.3750  0.03
In 0.3750 0.3750 0.3750  0.03

Results
ΔH_f (0 K) ... 210.9 meV/atom
SG ... No. 216
VASP energy ... -19.152 eV per cell